EuYZnCd after structural relaxation. Source: Alexandria via LeMat-Bulk, functional GGA-PBE.

Formation energy in eV/atom: -0.28
Calculated volume in Å³ per atom: 26.4

Lattice parameters (Å, degrees): 7.501 7.501 7.501 90.00 90.00 90.00
Space group F-43m (No. 216)
Asymmetric unit:
1 Eu 0.000 0.000 0.000 x4
2 Y 0.000 0.000 0.500 x4
3 Zn 0.250 0.250 0.750 x4
4 Cd 0.250 0.250 0.250 x4



SrMg2 after structural relaxation. Source: Alexandria via LeMat-Bulk, functional GGA-PBE.

Formation energy in eV/atom: 0.14
Calculated volume in Å³ per atom: 31.7

Lattice parameters (Å, degrees): 9.7950 9.7950 3.4350 90.00 90.00 120.00
Space group P-62m (No. 189)
Asymmetric unit:
1 Sr 0.0000 0.0000 0.0000 x1
2 Sr 0.3333 0.6667 0.5000 x2
3 Mg 0.0000 0.3529 0.0000 x3
4 Mg 0.0000 0.6858 0.5000 x3



SrP2RuS after structural relaxation. Source: Alexandria via LeMat-Bulk, functional GGA-PBE.

ΔE_f (raw) in meV per atom: 1751
Relative energy among the computed polymorphs in meV per atom: 2143
Calculated volume in Å³ per atom: 31.0

Lattice parameters (Å, degrees): 5.405 5.405 5.300 90.00 90.00 90.00
Space group P4/mmm (No. 123)
Asymmetric unit:
1 Sr 0.000 0.000 0.000 x1
2 P 0.000 0.500 0.000 x2
3 Ru 0.500 0.500 0.500 x1
4 S 0.000 0.000 0.500 x1



What is the formula in the first record? EuYZnCd



Look up the calculated volume of the third one. 31.0 Å³ per atom